Entry 1:
A plane-wave DFT calculation with PBE was carried out for crystalline Tb5Er2Sc12 at its relaxed geometry.

Cell and atoms, written as extended XYZ:
```
19
Lattice="7.330 -4.334 0.000 7.330 4.334 0.000 -0.463 0.000 8.222" Properties=species:S:1:pos:R:3 pbc="T T T"
Tb 0.000 0.000 0.000
Tb 3.408 0.000 0.608
Tb 3.982 0.000 3.991
Tb 10.215 0.000 4.231
Tb 10.789 0.000 7.614
Er 7.098 1.543 4.111
Er 7.098 -1.543 4.111
Sc 5.067 2.794 2.077
Sc 0.837 0.000 3.058
Sc 5.048 1.634 6.850
Sc 9.130 2.794 6.145
Sc 9.149 1.634 1.372
Sc 6.488 0.000 1.336
Sc 7.708 0.000 6.886
Sc 5.048 -1.634 6.850
Sc 5.067 -2.794 2.077
Sc 9.149 -1.634 1.372
Sc 13.360 0.000 5.164
Sc 9.130 -2.794 6.145
```

## Properties
The formation enthalpy at 0 K is 129 meV per atom. As for the density of states at the Fermi level: 26.97 states/eV/f.u.

Entry 2:
A plane-wave DFT calculation with PBE was carried out for crystalline Tb4ErSc5 at its relaxed geometry.

Cell and atoms, written as extended XYZ:
```
10
Lattice="7.339 -2.676 0.000 7.339 2.676 0.000 -6.151 0.000 7.485" Properties=species:S:1:pos:R:3 pbc="T T T"
Tb 2.800 0.000 0.994
Tb -0.154 0.000 4.688
Tb 8.682 0.000 2.796
Tb 5.727 0.000 6.490
Er 4.264 0.000 3.742
Sc 0.000 0.000 0.000
Sc -3.613 0.000 5.335
Sc 5.947 0.000 0.732
Sc 2.581 0.000 6.753
Sc 12.140 0.000 2.150
```

## Properties
The formation enthalpy at 0 K is 245 meV per atom. Its energy relative to the lowest polymorph listed for this composition is 8 meV/atom. As for the density of states at the Fermi level: 20.48 states/eV/f.u.

Entry 3:
A plane-wave DFT calculation with PBE was carried out for crystalline TbEr2Sc at its relaxed geometry.

Cell and atoms, written as extended XYZ:
```
4
Lattice="4.882 0.000 0.000 0.000 4.882 0.000 0.000 0.000 4.910" Properties=species:S:1:pos:R:3 pbc="T T T"
Tb 0.000 0.000 0.000
Er 0.000 2.441 2.455
Er 2.441 0.000 2.455
Sc 2.441 2.441 0.000
```

## Properties
The formation enthalpy at 0 K is 42 meV per atom. Its energy relative to the lowest polymorph listed for this composition is 25 meV/atom. As for the density of states at the Fermi level: 6.34 states/eV/f.u.

Entry 4:
A plane-wave DFT calculation with PBE was carried out for crystalline Tb4Er11Sc9 at its relaxed geometry.

Cell and atoms, written as extended XYZ:
```
24
Lattice="9.848 -10.191 0.000 9.848 10.191 0.000 0.000 0.000 3.408" Properties=species:S:1:pos:R:3 pbc="T T T"
Tb 2.693 1.710 0.000
Tb 2.693 -1.710 0.000
Tb 17.004 1.710 0.000
Tb 17.004 -1.710 0.000
Er 5.057 3.434 1.704
Er 9.848 6.983 1.704
Er 5.256 0.000 1.704
Er 9.848 3.488 1.704
Er 5.057 -3.434 1.704
Er 9.848 0.000 1.704
Er 14.640 3.434 1.704
Er 9.848 -3.488 1.704
Er 14.441 0.000 1.704
Er 9.848 -6.983 1.704
Er 14.640 -3.434 1.704
Sc 0.000 0.000 0.000
Sc 7.413 5.179 0.000
Sc 7.523 1.778 0.000
Sc 12.283 5.179 0.000
Sc 7.523 -1.778 0.000
Sc 12.174 1.778 0.000
Sc 7.413 -5.179 0.000
Sc 12.174 -1.778 0.000
Sc 12.283 -5.179 0.000
```

## Properties
The formation enthalpy at 0 K is 81 meV per atom. As for the density of states at the Fermi level: 37.29 states/eV/f.u.

Entry 5:
A plane-wave DFT calculation with PBE was carried out for crystalline Tb6Er2Sc3 at its relaxed geometry.

Cell and atoms, written as extended XYZ:
```
11
Lattice="6.013 0.000 0.000 -1.015 7.685 0.000 -2.006 -2.634 7.021" Properties=species:S:1:pos:R:3 pbc="T T T"
Tb -0.497 1.527 2.537
Tb -0.519 -0.808 5.136
Tb 0.502 7.083 0.632
Tb 2.489 -2.031 6.389
Tb 3.511 5.859 1.885
Tb 3.488 3.524 4.485
Er 0.500 4.714 3.184
Er 2.491 0.338 3.837
Sc -0.508 3.843 0.000
Sc 0.489 2.354 5.777
Sc 2.503 2.697 1.244
```

## Properties
The formation enthalpy at 0 K is 44 meV per atom. As for the density of states at the Fermi level: 16.30 states/eV/f.u.

Entry 6:
A plane-wave DFT calculation with PBE was carried out for crystalline TbEr2Sc7 at its relaxed geometry.

Cell and atoms, written as extended XYZ:
```
10
Lattice="5.751 0.000 0.000 -0.976 5.712 0.000 -2.866 -2.407 7.997" Properties=species:S:1:pos:R:3 pbc="T T T"
Tb 0.000 0.000 0.000
Er 0.007 2.946 1.647
Er 1.903 0.359 6.350
Sc -1.921 1.652 3.999
Sc -0.949 -1.130 5.561
Sc -0.958 1.831 7.173
Sc 0.962 0.178 3.223
Sc 0.948 3.126 4.774
Sc 2.867 1.473 0.824
Sc 2.858 4.435 2.436
```

## Properties
The formation enthalpy at 0 K is 55 meV per atom. Its energy relative to the lowest polymorph listed for this composition is 0 meV/atom. As for the density of states at the Fermi level: 16.28 states/eV/f.u.